[1]
A relaxed structure of K2BiSbS4. Source: Alexandria, functional PBE.

Summary:
Total energy, eV/cell: -32.7
ΔE_f (raw), eV per atom: -0.743

a b c (Å): 7.1202 4.1145 7.8103
angles (deg): 90.00 107.70 90.00
With the nearest neighbours (Å) after each atom.
Space group P2/m (No. 10)
Asymmetric unit:
K1 0.0000 0.0000 0.0000 [1 per cell]  6 S 3.24
K2 0.5000 0.5000 0.0000 [1 per cell]  6 S 3.19-3.20
Bi1 0.0000 0.5000 0.5000 [1 per cell]  6 S 2.86
Sb1 0.5000 0.0000 0.5000 [1 per cell]  6 S 2.81-2.82
S1 0.2418 0.0000 0.7099 [2 per cell]  1 Sb 2.81, 2 Bi 2.86
S2 0.2695 0.5000 0.2927 [2 per cell]  2 Sb 2.82, 1 Bi 2.86


[2]
A relaxed structure of MgMo2. Source: Alexandria, functional PBE.

Summary:
Energy relative to the elements, meV per atom: 510
Energy above the lowest structure with this stoichiometry, meV per atom: 325
Total energy, eV/cell: -86.9

a b c (Å): 2.6613 2.6613 28.7736
angles (deg): 90.00 90.00 90.00
With the nearest neighbours (Å) after each atom.
Space group I4_1/amd (No. 141, origin choice 2)
Asymmetric unit:
Mg1 0.0000 0.2500 0.3750 [4 per cell]  4 Mg 2.66
Mo1 0.0000 0.2500 0.7936 [8 per cell]  6 Mo 2.66-2.84


[3]
A relaxed structure of BiIr2RuS. Source: Alexandria, functional PBE.

Summary:
Total energy, eV/cell: -29.1
ΔE_f (raw), eV per atom: 1.190

a b c (Å): 4.3428 4.3428 5.3397
angles (deg): 90.00 90.00 90.00
With the nearest neighbours (Å) after each atom.
Space group P4/mmm (No. 123)
Asymmetric unit:
Bi1 0.0000 0.0000 0.0000 [1 per cell]  2 S 2.67
Ir1 0.0000 0.5000 0.5000 [2 per cell]  2 S 2.17
Ru1 0.5000 0.5000 0.0000 [1 per cell]  4 Bi 3.07
S1 0.0000 0.0000 0.5000 [1 per cell]  4 Ir 2.17


[4]
A relaxed structure of TaTc2SnMo. Source: Alexandria, functional PBE.

Summary:
Energy relative to the elements, meV per atom: 1950
Total energy, eV/cell: -37.7

a b c (Å): 4.6551 4.6551 5.1278
angles (deg): 90.00 90.00 90.00
With the nearest neighbours (Å) after each atom.
Space group P4/mmm (No. 123)
Asymmetric unit:
Ta1 0.0000 0.0000 0.0000 [1 per cell]  4 Tc 2.33, 2 Sn 2.56
Tc1 0.0000 0.5000 0.0000 [2 per cell]  2 Ta 2.33
Sn1 0.0000 0.0000 0.5000 [1 per cell]  2 Ta 2.56
Mo1 0.5000 0.5000 0.5000 [1 per cell]  4 Sn 3.29, 8 Tc 3.46


[5]
A relaxed structure of ZrSc2AlOs. Source: Alexandria, functional PBE.

Summary:
Energy relative to the elements, meV per atom: 173
Total energy, eV/cell: -35.3

a b c (Å): 4.9742 4.9742 5.0618
angles (deg): 90.00 90.00 90.00
With the nearest neighbours (Å) after each atom.
Space group P4/mmm (No. 123)
Asymmetric unit:
Zr1 0.0000 0.0000 0.0000 [1 per cell]  2 Os 2.53
Sc1 0.0000 0.5000 0.5000 [2 per cell]  2 Os 2.49
Al1 0.5000 0.5000 0.0000 [1 per cell]  4 Zr 3.52, 8 Sc 3.55
Os1 0.0000 0.0000 0.5000 [1 per cell]  4 Sc 2.49, 2 Zr 2.53


[6]
A relaxed structure of Y2ReF. Source: Alexandria, functional PBE.

Summary:
Energy above the lowest structure with this stoichiometry, meV per atom: 246
Total energy, eV/cell: -116.3
ΔE_f (raw), eV per atom: -0.459

a b c (Å): 6.8100 6.8100 6.8100
angles (deg): 90.00 90.00 90.00
With the nearest neighbours (Å) after each atom.
Space group Fm-3m (No. 225)
Asymmetric unit:
Y1 0.2500 0.2500 0.2500 [8 per cell]  4 F 2.95, 4 Re 2.95
Re1 0.0000 0.0000 0.0000 [4 per cell]  8 Y 2.95
F1 0.0000 0.0000 0.5000 [4 per cell]  8 Y 2.95


[7]
A relaxed structure of Pa3Co7Si2. Source: Alexandria, functional PBE.

Summary:
Energy above the lowest structure with this stoichiometry, meV per atom: 46
Total energy, eV/cell: -185.9
ΔE_f (raw), eV per atom: -0.321

a b c (Å): 3.7372 26.5577 3.7574
angles (deg): 90.00 90.00 90.00
With the nearest neighbours (Å) after each atom.
Space group Cmmm (No. 65)
Asymmetric unit:
Pa1 0.0000 0.0000 0.0000 [2 per cell]  4 Co 2.65
Pa2 0.0000 0.1983 0.0000 [4 per cell]  8 Co 2.57-2.66
Co1 0.0000 0.1312 0.5000 [4 per cell]  2 Si 2.26
Co2 0.0000 0.2926 0.5000 [4 per cell]  4 Pa 2.66, 6 Co 2.76-2.93
Co3 0.0000 0.3684 0.0000 [4 per cell]  2 Si 2.27
Co4 0.0000 0.5000 0.5000 [2 per cell]  2 Si 2.22
Si1 0.0000 0.4165 0.5000 [4 per cell]  5 Co 2.22-2.27


[8]
A relaxed structure of TiZnTc. Source: Alexandria, functional PBE.

Summary:
Energy relative to the elements, meV per atom: -241
Energy above the lowest structure with this stoichiometry, meV per atom: 0
Total energy, eV/cell: -40.5

a b c (Å): 3.2418 3.2418 8.5414
angles (deg): 90.00 90.00 90.00
With the nearest neighbours (Å) after each atom.
Space group I4mm (No. 107)
Asymmetric unit:
Ti1 0.0000 0.0000 0.0000 [2 per cell]  4 Tc 2.63, 5 Zn 2.74-2.76
Zn1 0.0000 0.0000 0.6796 [2 per cell]  5 Tc 2.71-2.83, 5 Ti 2.74-2.76
Tc1 0.0000 0.0000 0.3480 [2 per cell]  4 Ti 2.63, 5 Zn 2.71-2.83


[9]
A relaxed structure of Cr2NiBr. Source: Alexandria, functional PBE.

Summary:
Energy above the lowest structure with this stoichiometry, meV per atom: 488
Total energy, eV/cell: -93.2
ΔE_f (raw), eV per atom: 0.853

a b c (Å): 5.8847 5.8847 5.8847
angles (deg): 90.00 90.00 90.00
With the nearest neighbours (Å) after each atom.
Space group Fm-3m (No. 225)
Asymmetric unit:
Cr1 0.2500 0.2500 0.2500 [8 per cell]  4 Br 2.55, 4 Ni 2.55
Ni1 0.0000 0.0000 0.0000 [4 per cell]  8 Cr 2.55
Br1 0.0000 0.0000 0.5000 [4 per cell]  8 Cr 2.55


[10]
A relaxed structure of LaMnNi2B. Source: Alexandria, functional PBE.

Summary:
Energy relative to the elements, meV per atom: 2218
Total energy, eV/cell: -21.2

a b c (Å): 4.6276 4.6276 5.1900
angles (deg): 90.00 90.00 90.00
With the nearest neighbours (Å) after each atom.
Space group P4/mmm (No. 123)
Asymmetric unit:
La1 0.0000 0.0000 0.0000 [1 per cell]  4 Ni 2.31
Mn1 0.0000 0.0000 0.5000 [1 per cell]  2 La 2.60
Ni1 0.0000 0.5000 0.0000 [2 per cell]  2 La 2.31
B1 0.5000 0.5000 0.5000 [1 per cell]  4 Mn 3.27, 8 Ni 3.48


[11]
A relaxed structure of CsRuCl3. Source: Alexandria, functional PBE.

Summary:
Total energy, eV/cell: -19.8
ΔE_f (raw), eV per atom: -0.831

a b c (Å): 5.0036 5.0036 5.0036
angles (deg): 90.00 90.00 90.00
With the nearest neighbours (Å) after each atom.
Space group Pm-3m (No. 221)
Asymmetric unit:
Cs1 0.0000 0.0000 0.0000 [1 per cell]  12 Cl 3.54
Ru1 0.5000 0.5000 0.5000 [1 per cell]  6 Cl 2.50
Cl1 0.0000 0.5000 0.5000 [3 per cell]  2 Ru 2.50


[12]
A relaxed structure of RbReSnHg2. Source: Alexandria, functional PBE.

Summary:
Energy relative to the elements, meV per atom: 1862
Total energy, eV/cell: -8.7

a b c (Å): 6.1292 6.1292 6.5546
angles (deg): 90.00 90.00 90.00
With the nearest neighbours (Å) after each atom.
Space group P4/mmm (No. 123)
Asymmetric unit:
Rb1 0.0000 0.0000 0.0000 [1 per cell]  4 Hg 3.06, 2 Re 3.28
Re1 0.0000 0.0000 0.5000 [1 per cell]  2 Rb 3.28
Sn1 0.5000 0.5000 0.5000 [1 per cell]  4 Re 4.33, 8 Hg 4.49
Hg1 0.0000 0.5000 0.0000 [2 per cell]  2 Rb 3.06


[13]
A relaxed structure of KYPb. Source: Alexandria, functional PBE.

Summary:
Energy relative to the elements, meV per atom: 19
Energy above the lowest structure with this stoichiometry, meV per atom: 309
Total energy, eV/cell: -44.8

a b c (Å): 7.7682 7.7682 7.7682
angles (deg): 90.00 90.00 90.00
With the nearest neighbours (Å) after each atom.
Space group F-43m (No. 216)
Asymmetric unit:
K1 0.0000 0.0000 0.0000 [4 per cell]  4 Pb 3.36
Y1 0.0000 0.0000 0.5000 [4 per cell]  4 Pb 3.36
Pb1 0.2500 0.2500 0.7500 [4 per cell]  4 K 3.36, 4 Y 3.36


[14]
A relaxed structure of TmAg2Sn3. Source: Alexandria, functional PBE.

Summary:
Energy relative to the elements, meV per atom: -188
Total energy, eV/cell: -93.2

a b c (Å): 6.2159 15.5423 5.9175
angles (deg): 90.00 90.00 90.00
With the nearest neighbours (Å) after each atom.
Space group Cmcm (No. 63)
Asymmetric unit:
Tm1 0.0000 0.1585 0.2500 [4 per cell]  8 Sn 3.12-3.32, 4 Ag 3.24
Ag1 0.2409 0.0000 0.0000 [8 per cell]  4 Sn 2.90-3.07, 4 Ag 2.96-3.22, 2 Tm 3.24
Sn1 0.0000 0.3613 0.7500 [4 per cell]  4 Ag 3.07, 2 Tm 3.12, 4 Sn 3.38
Sn2 0.2423 0.1603 0.7500 [8 per cell]  2 Ag 2.90, 2 Sn 3.01-3.20, 1 Tm 3.24


[15]
A relaxed structure of ScTaIr2. Source: Alexandria, functional PBE.

Summary:
Energy relative to the elements, meV per atom: -203
Total energy, eV/cell: -146.9

a b c (Å): 7.1605 7.1605 5.7397
angles (deg): 90.00 90.00 90.00
With the nearest neighbours (Å) after each atom.
Space group I-42d (No. 122)
Asymmetric unit:
Sc1 0.0000 0.0000 0.0000 [4 per cell]  4 Ir 2.74, 2 Ta 2.87
Ta1 0.0000 0.0000 0.5000 [4 per cell]  4 Ir 2.53
Ir1 0.2283 0.2500 0.6250 [8 per cell]  2 Ta 2.53, 2 Sc 2.74


[16]
A relaxed structure of Er3Tm7Tc4. Source: Alexandria, functional PBE.

Summary:
Energy relative to the elements, meV per atom: -25
Total energy, eV/cell: -173.6

a b c (Å): 18.6630 3.6514 11.8935
angles (deg): 90.00 121.70 90.00
With the nearest neighbours (Å) after each atom.
Space group C2/m (No. 12)
Asymmetric unit:
Er1 0.0000 0.0000 0.0000 [2 per cell]  4 Tc 3.06
Er2 0.2032 0.5000 0.6987 [4 per cell]  4 Tc 2.86-3.16
Tm1 0.0000 0.0000 0.5000 [2 per cell]  2 Tc 3.02
Tm2 0.0021 0.5000 0.7496 [4 per cell]  3 Tc 2.81-2.89
Tm3 0.1631 0.0000 0.4084 [4 per cell]  2 Tc 2.83
Tm4 0.1812 0.5000 0.0177 [4 per cell]  4 Tc 2.79-3.04
Tc1 0.1287 0.0000 0.7930 [4 per cell]  6 Tm 2.81-3.04, 2 Er 2.86
Tc2 0.1371 0.5000 0.2083 [4 per cell]  4 Tm 2.79-2.89, 2 Er 3.06


[17]
A relaxed structure of Tb10Pb4C3. Source: Alexandria, functional PBE.

Summary:
Energy relative to the elements, meV per atom: -537
Total energy, eV/cell: -195.9

a b c (Å): 4.9227 4.9227 35.7590
angles (deg): 90.00 90.00 90.00
With the nearest neighbours (Å) after each atom.
Space group I4/mmm (No. 139)
Asymmetric unit:
Tb1 0.0000 0.0000 0.0692 [4 per cell]  2 C 2.47-2.54
Tb2 0.0000 0.0000 0.2090 [4 per cell]  1 C 2.46
Tb3 0.0000 0.5000 0.0000 [4 per cell]  2 C 2.46
Tb4 0.0000 0.5000 0.1381 [8 per cell]  2 C 2.46
Pb1 0.0000 0.0000 0.2995 [4 per cell]  9 Tb 3.24-3.49
Pb2 0.0000 0.0000 0.4314 [4 per cell]  12 Tb 3.47-3.50
C1 0.0000 0.0000 0.0000 [2 per cell]  6 Tb 2.46-2.47
C2 0.0000 0.0000 0.1402 [4 per cell]  6 Tb 2.46-2.54


[18]
A relaxed structure of Pm5Nd12In2. Source: Alexandria, functional PBE.

Summary:
Energy relative to the elements, meV per atom: -23
Total energy, eV/cell: -173.8

a b c (Å): 15.7486 9.4336 8.7127
angles (deg): 90.00 93.64 90.00
With the nearest neighbours (Å) after each atom.
Space group C2/m (No. 12)
Asymmetric unit:
Pm1 0.0000 0.0000 0.0000 [2 per cell]  10 Nd 3.50-3.78, 2 Pm 3.68
Pm2 0.1907 0.5000 0.5141 [4 per cell]  2 In 3.42, 6 Nd 3.54-3.68, 1 Pm 3.67
Pm3 0.2321 0.0000 0.0800 [4 per cell]  8 Nd 3.39-3.71, 2 Pm 3.67-3.68
Nd1 0.0561 0.5000 0.8246 [4 per cell]  2 In 3.35, 2 Pm 3.39-3.54, 7 Nd 3.40-3.63
Nd2 0.0786 0.0000 0.3850 [4 per cell]  5 Nd 3.28-3.62, 2 In 3.48, 1 Pm 3.50
Nd3 0.1254 0.3058 0.1705 [8 per cell]  5 Nd 3.40-3.66, 4 Pm 3.45-3.75, 1 In 3.59
Nd4 0.1457 0.1849 0.7361 [8 per cell]  1 In 3.26, 4 Nd 3.40-3.65, 1 Pm 3.64
In1 0.0000 0.3249 0.5000 [4 per cell]  8 Nd 3.26-3.59, 1 In 3.30, 2 Pm 3.42


[19]
A relaxed structure of SmThSe. Source: Alexandria, functional PBE.

Summary:
Total energy, eV/cell: -73.1
ΔE_f (raw), eV per atom: -0.881

a b c (Å): 11.0519 3.6629 8.6181
angles (deg): 90.00 94.60 90.00
With the nearest neighbours (Å) after each atom.
Space group C2/m (No. 12)
Asymmetric unit:
Sm1 0.1210 0.0000 0.1542 [4 per cell]  5 Se 3.01-3.12
Th1 0.1383 0.0000 0.5888 [4 per cell]  2 Se 3.07, 1 Th 3.31
Se1 0.1085 0.5000 0.8698 [4 per cell]  5 Sm 3.01-3.12, 2 Th 3.07


[20]
A relaxed structure of MgAl2MoIr. Source: Alexandria, functional PBE.

Summary:
Energy relative to the elements, meV per atom: 659
Total energy, eV/cell: -25.5

a b c (Å): 4.7936 4.7936 4.7712
angles (deg): 90.00 90.00 90.00
With the nearest neighbours (Å) after each atom.
Space group P4/mmm (No. 123)
Asymmetric unit:
Mg1 0.0000 0.0000 0.0000 [1 per cell]  8 Al 3.38, 4 Ir 3.39
Al1 0.0000 0.5000 0.5000 [2 per cell]  2 Mo 2.40
Mo1 0.5000 0.5000 0.5000 [1 per cell]  2 Ir 2.39, 4 Al 2.40
Ir1 0.5000 0.5000 0.0000 [1 per cell]  2 Mo 2.39


[21]
A relaxed structure of Li2PmTlO4. Source: Alexandria, functional PBE.

Summary:
Total energy, eV/cell: -92.6
ΔE_f (raw), eV per atom: -1.940

a b c (Å): 5.4388 5.4388 7.1269
angles (deg): 90.00 90.00 90.00
With the nearest neighbours (Å) after each atom.
Space group I-42m (No. 121)
Asymmetric unit:
Li1 0.0000 0.5000 0.2500 [4 per cell]  4 O 2.03
Pm1 0.0000 0.0000 0.0000 [2 per cell]  4 O 2.29
Tl1 0.0000 0.0000 0.5000 [2 per cell]  4 O 2.19
O1 0.2423 0.2423 0.3390 [8 per cell]  2 Li 2.03, 1 Tl 2.19


[22]
A relaxed structure of Ca6Si2Pb. Source: Alexandria, functional PBE.

Summary:
Total energy, eV/cell: -122.1
ΔE_f (raw), eV per atom: -0.441

a b c (Å): 9.8420 10.0508 10.8409
angles (deg): 90.00 90.00 90.00
With the nearest neighbours (Å) after each atom.
Space group Immm (No. 71)
Asymmetric unit:
Ca1 0.0000 0.2050 0.2419 [8 per cell]  2 Si 3.00-3.36, 1 Pb 3.34
Ca2 0.1911 0.5000 0.1729 [8 per cell]  3 Si 2.99-3.05
Ca3 0.2203 0.3156 0.5000 [8 per cell]  3 Si 3.10-3.22, 1 Pb 3.32
Si1 0.0000 0.3510 0.0000 [4 per cell]  1 Si 3.00, 8 Ca 3.00-3.22
Si2 0.0000 0.5000 0.3878 [4 per cell]  1 Si 2.43
Pb1 0.0000 0.0000 0.0000 [2 per cell]  8 Ca 3.32-3.34, 2 Si 3.53
Pb2 0.0000 0.0000 0.5000 [2 per cell]  12 Ca 3.48-3.84


[23]
A relaxed structure of BaV2Cu. Source: Alexandria, functional PBE.

Summary:
Energy relative to the elements, meV per atom: 1180
Energy above the lowest structure with this stoichiometry, meV per atom: 207
Total energy, eV/cell: -78.2

a b c (Å): 6.8748 6.8748 6.8748
angles (deg): 90.00 90.00 90.00
With the nearest neighbours (Å) after each atom.
Space group Fm-3m (No. 225)
Asymmetric unit:
Ba1 0.0000 0.0000 0.0000 [4 per cell]  8 V 2.98
V1 0.2500 0.2500 0.2500 [8 per cell]  4 Cu 2.98, 4 Ba 2.98
Cu1 0.0000 0.0000 0.5000 [4 per cell]  8 V 2.98


[24]
A relaxed structure of LiCoSn2. Source: Alexandria, functional PBE.

Summary:
Energy relative to the elements, meV per atom: 251
Energy above the lowest structure with this stoichiometry, meV per atom: 364
Total energy, eV/cell: -64.1

a b c (Å): 4.3426 4.3426 17.6067
angles (deg): 90.00 90.00 90.00
With the nearest neighbours (Å) after each atom.
Space group I-42d (No. 122)
Asymmetric unit:
Li1 0.0000 0.0000 0.0000 [4 per cell]  4 Sn 2.71
Co1 0.0000 0.0000 0.5000 [4 per cell]  4 Sn 2.66
Sn1 0.2376 0.2500 0.6250 [8 per cell]  2 Co 2.66, 2 Li 2.71